PaSnSe: optimized geometry, PBE.

a b c (Å): 3.603 3.603 6.340
angles (deg): 106.51 106.51 90.00
Positions (direct):
Sn  0.999  0.999  0.998
Se  0.309  0.309  0.617
Pa  0.692  0.692  0.385

- energy relative to the lowest polymorph listed for this composition (eV per atom) = 0.298
- symmetry = I4mm
- N(E_F) (states/eV/f.u.) = 3.4

=====

ScAsSe2: optimized geometry, PBE.

a b c (Å): 8.930 8.930 8.930
angles (deg): 23.80 23.80 23.80
Positions (direct):
Sc  0.747  0.747  0.747
As  0.499  0.499  0.499
Se  0.227  0.227  0.227
Se  0.026  0.026  0.026

- uncorrected energy (eV/f.u.) = -19.9
- symmetry = R3m
- N(E_F) (states/eV/f.u.) = 3.4

=====

Er3PaNi8: optimized geometry, PBE.

a b c (Å): 5.048 5.048 8.251
angles (deg): 90.00 90.00 120.00
Positions (direct):
Ni  0.001  0.500  0.747
Ni  0.664  0.832  0.254
Ni  0.333  0.667  0.998
Ni  0.168  0.832  0.254
Ni  0.500  0.999  0.747
Ni  0.333  0.667  0.501
Ni  0.500  0.500  0.747
Ni  0.168  0.336  0.254
Pa  0.000  0.000  0.560
Er  0.667  0.333  0.433
Er  0.667  0.333  0.063
Er  0.000  0.000  0.943

- symmetry = P3m1
- E_form (eV/atom) = -0.42
- N(E_F) (states/eV/f.u.) = 9.2

=====

Ga2Ag7Au: optimized geometry, PBE.

a b c (Å): 4.441 7.616 7.616
angles (deg): 120.19 90.00 90.00
Positions (direct):
Ag  0.500  0.704  0.927
Ag  0.000  0.209  0.791
Ag  0.500  0.296  0.073
Ag  0.500  0.927  0.704
Ag  0.500  0.500  0.500
Ag  0.500  0.073  0.296
Ag  0.000  0.791  0.209
Ga  0.500  0.695  0.305
Ga  0.500  0.305  0.695
Au  0.000  0.000  0.000

- symmetry = Cmmm
- E_form (eV/atom) = 0.22
- N(E_F) (states/eV/f.u.) = 4.8

=====

SiNi: optimized geometry, PBE.

a b c (Å): 2.963 4.726 3.331
angles (deg): 90.00 90.00 90.00
Positions (direct):
Si  0.000  0.343  0.000
Si  0.500  0.657  0.500
Ni  0.000  0.842  0.000
Ni  0.500  0.158  0.500

- uncorrected energy (eV/f.u.) = -12.1
- symmetry = Pmmn
- N(E_F) (states/eV/f.u.) = 0.5

=====

U2PdS4: optimized geometry, PBE.

a b c (Å): 3.970 6.810 6.956
angles (deg): 114.46 106.58 90.00
Positions (direct):
Pd  0.000  0.000  0.000
S  0.634  0.302  0.269
S  0.126  0.824  0.252
S  0.366  0.698  0.731
S  0.874  0.176  0.748
U  0.260  0.259  0.519
U  0.740  0.741  0.481

- energy relative to the lowest polymorph listed for this composition (eV per atom) = 0.138
- symmetry = C2/m
- N(E_F) (states/eV/f.u.) = 6.7

=====

Zr6Cd5: optimized geometry, PBE.

a b c (Å): 4.675 5.885 9.958
angles (deg): 90.00 90.00 66.08
Positions (direct):
Cd  0.638  0.723  0.000
Cd  0.000  0.000  0.500
Cd  0.362  0.277  0.000
Cd  0.677  0.644  0.500
Cd  0.323  0.356  0.500
Zr  0.164  0.673  0.774
Zr  0.500  0.000  0.269
Zr  0.836  0.327  0.226
Zr  0.500  0.000  0.731
Zr  0.836  0.327  0.774
Zr  0.164  0.673  0.226

- symmetry = P2/m
- E_form (eV/atom) = 0.09
- N(E_F) (states/eV/f.u.) = 11.5

=====

Pm2Ta3Si4: optimized geometry, PBE.

a b c (Å): 6.979 7.106 7.117
angles (deg): 90.00 90.00 108.84
Positions (direct):
Pm  0.564  0.186  0.332
Pm  0.064  0.186  0.168
Pm  0.436  0.814  0.668
Pm  0.936  0.814  0.832
Ta  0.500  0.500  0.000
Ta  0.748  0.259  0.826
Ta  0.000  0.500  0.500
Ta  0.252  0.741  0.174
Ta  0.248  0.259  0.674
Ta  0.752  0.741  0.326
Si  0.371  0.087  0.960
Si  0.872  0.496  0.126
Si  0.628  0.504  0.626
Si  0.128  0.504  0.874
Si  0.372  0.496  0.374
Si  0.129  0.913  0.460
Si  0.871  0.087  0.540
Si  0.629  0.913  0.040

- uncorrected energy (eV/f.u.) = -73.0
- symmetry = P2_1/c
- N(E_F) (states/eV/f.u.) = 4.3

=====

Zr4PbSe8: optimized geometry, PBE.

a b c (Å): 7.554 7.554 8.640
angles (deg): 64.08 64.08 60.00
Positions (direct):
Se  0.738  0.738  0.785
Se  0.239  0.744  0.778
Se  0.256  0.761  0.222
Se  0.239  0.239  0.778
Se  0.761  0.256  0.222
Se  0.262  0.262  0.215
Se  0.761  0.761  0.222
Se  0.744  0.239  0.778
Zr  0.500  0.500  0.000
Zr  0.000  0.500  0.000
Zr  0.000  0.000  0.000
Zr  0.500  0.000  0.000
Pb  0.500  0.500  0.500

- uncorrected energy (eV/f.u.) = -81.6
- symmetry = R-3m
- N(E_F) (states/eV/f.u.) = 6.1

=====

YZrW2: optimized geometry, PBE.

a b c (Å): 4.810 4.810 4.810
angles (deg): 120.14 120.14 89.76
Positions (direct):
Zr  0.750  0.250  0.500
Y  0.500  0.500  0.000
W  0.250  0.750  0.500
W  0.000  0.000  0.000

- energy relative to the lowest polymorph listed for this composition (eV per atom) = 0.221
- symmetry = I-4m2
- E_form (eV/atom) = 0.43
- N(E_F) (states/eV/f.u.) = 5.0

=====

BaMg6Ga4: optimized geometry, PBE.

a b c (Å): 4.521 7.980 7.980
angles (deg): 120.00 90.00 90.00
Positions (direct):
Ba  0.000  0.000  0.000
Ga  0.000  0.333  0.667
Ga  0.500  0.418  0.209
Ga  0.500  0.791  0.582
Ga  0.500  0.791  0.209
Mg  0.000  0.533  0.067
Mg  0.000  0.933  0.467
Mg  0.500  0.588  0.794
Mg  0.500  0.206  0.412
Mg  0.500  0.206  0.794
Mg  0.000  0.533  0.467

- symmetry = P-6m2
- E_form (eV/atom) = -0.24
- N(E_F) (states/eV/f.u.) = 4.5

=====

TaAuCl3: optimized geometry, PBE.

a b c (Å): 5.053 5.053 5.053
angles (deg): 90.00 90.00 90.00
Positions (direct):
Au  0.000  0.000  0.000
Cl  0.000  0.500  0.000
Cl  0.500  0.000  0.000
Cl  0.000  0.000  0.500
Ta  0.500  0.500  0.500

- energy relative to the lowest polymorph listed for this composition (eV per atom) = 1.038
- symmetry = Pm-3m
- N(E_F) (states/eV/f.u.) = 4.0

=====

- Look up the N(E_F) of the fourth one.
  4.8 states/eV/f.u.

=====

- Among the records above, which one has the lowest N(E_F)?
  SiNi

=====

- Which value of N(E_F) does entry 3 give?
  9.2 states/eV/f.u.

=====

- Number 2 is which compound?
  ScAsSe2